A relaxed CaScAu3 crystal, computed with PBE-GGA.

Unit cell a=5.137 b=5.137 c=5.137 alpha=90.00 beta=90.00 gamma=90.00
Atoms (fractional coordinates):
Au: 0.000 0.000 0.500
Au: 0.500 0.000 0.000
Ca: 0.500 0.500 0.500
Sc: 0.000 0.000 0.000
Au: 0.000 0.500 0.000

- D(E_F) (states/eV/f.u.) = 2.643
- energy above the most stable polymorph in this dataset (meV per atom) = 455
- formation energy from the elements (kJ/mol of formula units) = -115.6
- space-group type = No. 221
- spin magnetization (μB/f.u.) = 0.0


A relaxed Ca2ScAu crystal, computed with PBE-GGA.

Unit cell a=6.010 b=6.010 c=6.010 alpha=135.57 beta=135.57 gamma=64.65
Atoms (fractional coordinates):
Sc: 0.250 0.750 0.500
Ca: 0.000 0.000 0.000
Au: 0.750 0.250 0.500
Ca: 0.500 0.500 0.000

- D(E_F) (states/eV/f.u.) = 6.428
- energy above the most stable polymorph in this dataset (meV per atom) = 261
- formation energy from the elements (kJ/mol of formula units) = -39.2
- space-group type = No. 139
- spin magnetization (μB/f.u.) = 0.0